YNpIn | GGA-PBE | relaxed

```
data_YNpIn
_cell_length_a 7.346
_cell_length_b 7.346
_cell_length_c 7.346
_cell_angle_alpha 90.00
_cell_angle_beta 90.00
_cell_angle_gamma 90.00
_symmetry_space_group_name_H-M 'F -4 3 m'
_symmetry_Int_Tables_number 216
_symmetry_space_group_name_Hall 'F -4 2 3'
loop_
_atom_site_label
_atom_site_type_symbol
_atom_site_fract_x
_atom_site_fract_y
_atom_site_fract_z
_atom_site_occupancy
Y1 Y 0.000 0.000 0.000 1
Np1 Np 0.000 0.000 0.500 1
In1 In 0.250 0.250 0.750 1
```

Polymorph energy (0 for the lowest one) ... 0.000 eV/atom
Theoretical density ... 7.4 g/cm3


InOsO3 | GGA-PBE | relaxed

```
data_InOsO3
_cell_length_a 5.7318
_cell_length_b 5.7318
_cell_length_c 11.7961
_cell_angle_alpha 90.00
_cell_angle_beta 90.00
_cell_angle_gamma 120.00
_symmetry_space_group_name_H-M 'R -3 c'
_symmetry_Int_Tables_number 167
_symmetry_space_group_name_Hall '-R 3 2"c'
loop_
_atom_site_label
_atom_site_type_symbol
_atom_site_fract_x
_atom_site_fract_y
_atom_site_fract_z
_atom_site_occupancy
In1 In 0.0000 0.0000 0.2500 1
Os1 Os 0.0000 0.0000 0.0000 1
O1 O 0.0000 0.3741 0.2500 1
```

Theoretical density ... 10.5 g/cm3
E ... -198.68 eV/cell